# CuSI3 (SCAN, PBEsol geometry)
# - theoretical density (Mg/m³) = 5.3
# - formation energy (no corrections) (eV/atom) = -0.004
# - size of the total moment (μB per cell) = 0.0
# - crystal system = monoclinic
data_CuSI3
_chemical_formula_sum 'Cu1 S1 I3'
_cell_length_a 4.021
_cell_length_b 8.239
_cell_length_c 4.800
_cell_angle_alpha 90.00
_cell_angle_beta 108.76
_cell_angle_gamma 90.00
_symmetry_space_group_name_H-M 'P 1 m 1'
_symmetry_Int_Tables_number 6
loop_
_symmetry_equiv_pos_as_xyz
'x,y,z'
'x,-y,z'
loop_
_atom_site_label
_atom_site_type_symbol
_atom_site_fract_x
_atom_site_fract_y
_atom_site_fract_z
Cu1 Cu 0.000 0.000 0.000
S1 S 0.424 0.000 0.787
I1 I 0.174 0.232 0.404
I2 I 0.833 0.500 0.985

***

# K2Ni2S3O12 (SCAN, PBEsol geometry)
# - theoretical density (Mg/m³) = 3.4
# - formation energy (no corrections) (eV/atom) = -1.770
# - size of the total moment (μB per cell) = 16.1
# - crystal system = cubic
data_K2Ni2S3O12
_chemical_formula_sum 'K8 Ni8 S12 O48'
_cell_length_a 9.781
_cell_length_b 9.781
_cell_length_c 9.781
_cell_angle_alpha 90.00
_cell_angle_beta 90.00
_cell_angle_gamma 90.00
_symmetry_space_group_name_H-M 'P 21 3'
_symmetry_Int_Tables_number 198
_symmetry_space_group_name_Hall 'P 2ac 2ab 3'
loop_
_atom_site_label
_atom_site_type_symbol
_atom_site_fract_x
_atom_site_fract_y
_atom_site_fract_z
K1 K 0.050 0.050 0.050
K2 K 0.186 0.314 0.686
Ni1 Ni 0.094 0.906 0.406
Ni2 Ni 0.163 0.663 0.837
S1 S 0.023 0.217 0.378
O1 O 0.000 0.074 0.330
O2 O 0.009 0.551 0.756
O3 O 0.035 0.811 0.224
O4 O 0.095 0.830 0.740

***

# InTeSeN2 (SCAN, PBEsol geometry)
# - theoretical density (Mg/m³) = 5.3
# - formation energy (no corrections) (eV/atom) = 1.262
# - size of the total moment (μB per cell) = 3.8
# - crystal system = tetragonal
data_InTeSeN2
_chemical_formula_sum 'In1 Te1 Se1 N2'
_cell_length_a 4.197
_cell_length_b 4.197
_cell_length_c 6.159
_cell_angle_alpha 90.00
_cell_angle_beta 90.00
_cell_angle_gamma 90.00
_symmetry_space_group_name_H-M 'P 4/m m m'
_symmetry_Int_Tables_number 123
_symmetry_space_group_name_Hall '-P 4 2'
loop_
_atom_site_label
_atom_site_type_symbol
_atom_site_fract_x
_atom_site_fract_y
_atom_site_fract_z
In1 In 0.000 0.000 0.000
Te1 Te 0.000 0.000 0.500
Se1 Se 0.500 0.500 0.500
N1 N 0.000 0.500 0.000

***

# Y2MnW (SCAN, PBEsol geometry)
# - theoretical density (Mg/m³) = 8.5
# - energy (eV/atom) = -35.59
# - size of the total moment (μB per cell) = 0.0
# - crystal system = orthorhombic
data_Y2MnW
_chemical_formula_sum 'Y4 Mn2 W2'
_cell_length_a 3.309
_cell_length_b 4.920
_cell_length_c 10.030
_cell_angle_alpha 90.00
_cell_angle_beta 90.00
_cell_angle_gamma 90.00
_symmetry_space_group_name_H-M 'I m m 2'
_symmetry_Int_Tables_number 44
loop_
_symmetry_equiv_pos_as_xyz
'x,y,z'
'-x,-y,z'
'-x,y,z'
'x,-y,z'
'x+1/2,y+1/2,z+1/2'
'-x+1/2,-y+1/2,z+1/2'
'-x+1/2,y+1/2,z+1/2'
'x+1/2,-y+1/2,z+1/2'
loop_
_atom_site_label
_atom_site_type_symbol
_atom_site_fract_x
_atom_site_fract_y
_atom_site_fract_z
Y1 Y 0.000 0.000 0.000
Y2 Y 0.000 0.500 0.216
Mn1 Mn 0.000 0.500 0.760
W1 W 0.000 0.000 0.422

***

# Rb2SbAs2 (SCAN, PBEsol geometry)
# - theoretical density (Mg/m³) = 4.7
# - polymorph energy (0 for the lowest one) (kJ per mole of atoms) = 0.0
# - formation energy (no corrections) (eV/atom) = -0.248
# - size of the total moment (μB per cell) = 0.0
# - crystal system = tetragonal
data_Rb2SbAs2
_chemical_formula_sum 'Rb4 Sb2 As4'
_cell_length_a 3.688
_cell_length_b 3.688
_cell_length_c 22.841
_cell_angle_alpha 90.00
_cell_angle_beta 90.00
_cell_angle_gamma 90.00
_symmetry_space_group_name_H-M 'I 4/m m m'
_symmetry_Int_Tables_number 139
_symmetry_space_group_name_Hall '-I 4 2'
loop_
_atom_site_label
_atom_site_type_symbol
_atom_site_fract_x
_atom_site_fract_y
_atom_site_fract_z
Rb1 Rb 0.000 0.000 0.115
Sb1 Sb 0.000 0.000 0.500
As1 As 0.000 0.500 0.250

***

# CaMoOs (SCAN, PBEsol geometry)
# - theoretical density (Mg/m³) = 10.7
# - energy (eV/atom) = -38.17
# - size of the total moment (μB per cell) = 0.0
# - crystal system = trigonal
data_CaMoOs
_chemical_formula_sum 'Ca1 Mo1 Os1'
_cell_length_a 4.5405
_cell_length_b 4.5405
_cell_length_c 2.8488
_cell_angle_alpha 90.00
_cell_angle_beta 90.00
_cell_angle_gamma 120.00
_symmetry_space_group_name_H-M 'P 3 m 1'
_symmetry_Int_Tables_number 156
loop_
_symmetry_equiv_pos_as_xyz
'x,y,z'
'-y,x-y,z'
'-x+y,-x,z'
'-y,-x,z'
'-x+y,y,z'
'x,x-y,z'
loop_
_atom_site_label
_atom_site_type_symbol
_atom_site_fract_x
_atom_site_fract_y
_atom_site_fract_z
Ca1 Ca 0.0000 0.0000 0.0000
Mo1 Mo 0.6667 0.3333 0.6442
Os1 Os 0.3333 0.6667 0.3985

***

# CaMg2Cu4 (SCAN, PBEsol geometry)
# - theoretical density (Mg/m³) = 5.0
# - polymorph energy (0 for the lowest one) (kJ per mole of atoms) = 3.1
# - size of the total moment (μB per cell) = 0.0
# - crystal system = tetragonal
data_CaMg2Cu4
_chemical_formula_sum 'Ca2 Mg4 Cu8'
_cell_length_a 6.549
_cell_length_b 6.549
_cell_length_c 5.324
_cell_angle_alpha 90.00
_cell_angle_beta 90.00
_cell_angle_gamma 90.00
_symmetry_space_group_name_H-M 'I 4/m m m'
_symmetry_Int_Tables_number 139
_symmetry_space_group_name_Hall '-I 4 2'
loop_
_atom_site_label
_atom_site_type_symbol
_atom_site_fract_x
_atom_site_fract_y
_atom_site_fract_z
Ca1 Ca 0.000 0.000 0.000
Mg1 Mg 0.000 0.500 0.250
Cu1 Cu 0.185 0.185 0.500

***

# V2OF5 (SCAN, PBEsol geometry)
# - theoretical density (Mg/m³) = 4.0
# - polymorph energy (0 for the lowest one) (kJ per mole of atoms) = 2.4
# - formation energy (no corrections) (eV/atom) = -3.077
# - size of the total moment (μB per cell) = 9.0
# - crystal system = trigonal
data_V2OF5
_chemical_formula_sum 'V6 O3 F15'
_cell_length_a 8.2926
_cell_length_b 8.2926
_cell_length_c 4.4892
_cell_angle_alpha 90.00
_cell_angle_beta 90.00
_cell_angle_gamma 120.00
_symmetry_space_group_name_H-M 'P 3 1 2'
_symmetry_Int_Tables_number 149
loop_
_symmetry_equiv_pos_as_xyz
'x,y,z'
'-y,x-y,z'
'-x+y,-x,z'
'-y,-x,-z'
'-x+y,y,-z'
'x,x-y,-z'
loop_
_atom_site_label
_atom_site_type_symbol
_atom_site_fract_x
_atom_site_fract_y
_atom_site_fract_z
V1 V 0.0120 0.3387 0.2359
O1 O 0.2065 0.4130 0.0000
F1 F 0.0989 0.5494 0.5000
F2 F 0.1155 0.2311 0.5000
F3 F 0.2349 0.1174 0.0000
F4 F 0.4185 0.2092 0.5000
F5 F 0.5506 0.1011 0.0000

***

# Be2HgPb (SCAN, PBEsol geometry)
# - theoretical density (Mg/m³) = 9.9
# - polymorph energy (0 for the lowest one) (kJ per mole of atoms) = 37.1
# - size of the total moment (μB per cell) = 0.0
# - crystal system = tetragonal
data_Be2HgPb
_chemical_formula_sum 'Be4 Hg2 Pb2'
_cell_length_a 3.716
_cell_length_b 3.716
_cell_length_c 10.309
_cell_angle_alpha 90.00
_cell_angle_beta 90.00
_cell_angle_gamma 90.00
_symmetry_space_group_name_H-M 'I -4 m 2'
_symmetry_Int_Tables_number 119
_symmetry_space_group_name_Hall 'I -4 -2'
loop_
_atom_site_label
_atom_site_type_symbol
_atom_site_fract_x
_atom_site_fract_y
_atom_site_fract_z
Be1 Be 0.000 0.000 0.000
Be2 Be 0.000 0.500 0.250
Hg1 Hg 0.000 0.000 0.500
Pb1 Pb 0.000 0.500 0.750

***

# TcTeSe2 (SCAN, PBEsol geometry)
# - theoretical density (Mg/m³) = 6.7
# - formation energy (no corrections) (eV/atom) = -0.083
# - size of the total moment (μB per cell) = 0.0
# - crystal system = monoclinic
data_TcTeSe2
_chemical_formula_sum 'Tc2 Te2 Se4'
_cell_length_a 12.064
_cell_length_b 2.994
_cell_length_c 5.779
_cell_angle_alpha 90.00
_cell_angle_beta 115.02
_cell_angle_gamma 90.00
_symmetry_space_group_name_H-M 'C 1 m 1'
_symmetry_Int_Tables_number 8
loop_
_symmetry_equiv_pos_as_xyz
'x,y,z'
'x,-y,z'
'x+1/2,y+1/2,z'
'x+1/2,-y+1/2,z'
loop_
_atom_site_label
_atom_site_type_symbol
_atom_site_fract_x
_atom_site_fract_y
_atom_site_fract_z
Tc1 Tc 0.000 0.000 0.000
Te1 Te 0.173 0.500 0.370
Se1 Se 0.344 0.000 0.015
Se2 Se 0.498 0.000 0.667

***

# CaGaAs2Se (SCAN, PBEsol geometry)
# - theoretical density (Mg/m³) = 4.7
# - polymorph energy (0 for the lowest one) (kJ per mole of atoms) = 0.0
# - formation energy (no corrections) (eV/atom) = -0.132
# - size of the total moment (μB per cell) = 0.0
# - crystal system = tetragonal
data_CaGaAs2Se
_chemical_formula_sum 'Ca1 Ga1 As2 Se1'
_cell_length_a 4.846
_cell_length_b 4.846
_cell_length_c 5.116
_cell_angle_alpha 90.00
_cell_angle_beta 90.00
_cell_angle_gamma 90.00
_symmetry_space_group_name_H-M 'P 4/m m m'
_symmetry_Int_Tables_number 123
_symmetry_space_group_name_Hall '-P 4 2'
loop_
_atom_site_label
_atom_site_type_symbol
_atom_site_fract_x
_atom_site_fract_y
_atom_site_fract_z
Ca1 Ca 0.000 0.000 0.000
Ga1 Ga 0.500 0.500 0.500
As1 As 0.000 0.500 0.500
Se1 Se 0.500 0.500 0.000

***

# K3LuF6 (SCAN, PBEsol geometry)
# - theoretical density (Mg/m³) = 3.6
# - formation energy (no corrections) (eV/atom) = -3.519
# - size of the total moment (μB per cell) = 1.0
# - crystal system = cubic
data_K3LuF6
_chemical_formula_sum 'K12 Lu4 F24'
_cell_length_a 9.117
_cell_length_b 9.117
_cell_length_c 9.117
_cell_angle_alpha 90.00
_cell_angle_beta 90.00
_cell_angle_gamma 90.00
_symmetry_space_group_name_H-M 'F m -3 m'
_symmetry_Int_Tables_number 225
_symmetry_space_group_name_Hall '-F 4 2 3'
loop_
_atom_site_label
_atom_site_type_symbol
_atom_site_fract_x
_atom_site_fract_y
_atom_site_fract_z
K1 K 0.000 0.000 0.000
K2 K 0.250 0.250 0.250
Lu1 Lu 0.000 0.000 0.500
F1 F 0.000 0.000 0.271